*one*
Compound: VFeMo2
Source: Alexandria via LeMat-Bulk
Functional: PBE
Structure: optimized geometry

a = 6.0808 Å, b = 6.0808 Å, c = 6.0808 Å
α = 90.00°, β = 90.00°, γ = 90.00°
Space group Fm-3m (No. 225)
Symmetry-distinct sites (fractional):
V 0.0000 0.0000 0.0000 x4
Fe 0.0000 0.0000 0.5000 x4
Mo 0.2500 0.2500 0.2500 x8

Calculated values
D(E_F)   0.88 states/eV/atom
Crystal system   cubic
Total magnetization   6.724 μB/cell

=====

*two*
Compound: VFeMo2
Source: Alexandria via LeMat-Bulk
Functional: PBE
Structure: optimized geometry

a = 6.8572 Å, b = 6.8572 Å, c = 5.0545 Å
α = 90.00°, β = 90.00°, γ = 90.00°
Space group I-42d (No. 122)
Symmetry-distinct sites (fractional):
V 0.0000 0.0000 0.0000 x4
Fe 0.0000 0.0000 0.5000 x4
Mo 0.2278 0.2500 0.6250 x8

Calculated values
D(E_F)   1.27 states/eV/atom
Crystal system   tetragonal
Total magnetization   0.003 μB/cell

=====

*three*
Compound: VFeMo2
Source: Alexandria via LeMat-Bulk
Functional: PBE
Structure: optimized geometry

a = 4.2905 Å, b = 4.2905 Å, c = 3.0565 Å
α = 90.00°, β = 90.00°, γ = 90.00°
Space group P4/mmm (No. 123)
Symmetry-distinct sites (fractional):
V 0.0000 0.0000 0.0000 x1
Fe 0.5000 0.5000 0.0000 x1
Mo 0.0000 0.5000 0.5000 x2

Calculated values
D(E_F)   0.76 states/eV/atom
Crystal system   tetragonal
Total magnetization   1.835 μB/cell

=====

Most stable: *three*. Least stable: *two*.

=====

*one*
Compound: V4Fe2Mo
Source: Alexandria via LeMat-Bulk
Functional: PBE
Structure: optimized geometry

a = 4.0188 Å, b = 4.0188 Å, c = 12.0163 Å
α = 90.00°, β = 90.00°, γ = 90.00°
Space group I4/mmm (No. 139)
Symmetry-distinct sites (fractional):
V 0.0000 0.5000 0.1262 x8
Fe 0.0000 0.0000 0.2482 x4
Mo 0.0000 0.0000 0.5000 x2

Calculated values
D(E_F)   1.14 states/eV/atom
Crystal system   tetragonal
Total magnetization   0.270 μB/cell

=====

*two*
Compound: V4Fe2Mo
Source: Alexandria via LeMat-Bulk
Functional: PBE
Structure: optimized geometry

a = 4.4921 Å, b = 4.4921 Å, c = 11.8831 Å
α = 90.00°, β = 90.00°, γ = 90.00°
Space group I4/mmm (No. 139)
Symmetry-distinct sites (fractional):
V 0.0000 0.0000 0.2078 x4
V 0.0000 0.5000 0.0000 x4
Fe 0.0000 0.0000 0.3930 x4
Mo 0.0000 0.0000 0.0000 x2

Calculated values
D(E_F)   1.40 states/eV/atom
Crystal system   tetragonal
Total magnetization   3.655 μB/cell

=====

Most stable: *one*. Least stable: *two*.

=====

*one*
Compound: V6FeMo2
Source: Alexandria via LeMat-Bulk
Functional: PBE
Structure: optimized geometry

a = 12.7670 Å, b = 7.6259 Å, c = 2.5549 Å
α = 90.00°, β = 93.12°, γ = 90.00°
Space group C2/m (No. 12)
Symmetry-distinct sites (fractional):
V 0.0000 0.1800 0.0000 x4
V 0.1626 0.3322 0.8104 x8
Fe 0.0000 0.5000 0.5000 x2
Mo 0.1690 0.0000 0.4954 x4

Calculated values
D(E_F)   1.15 states/eV/atom
Crystal system   monoclinic
Total magnetization   1.674 μB/cell

=====

*two*
Compound: V6FeMo2
Source: Alexandria via LeMat-Bulk
Functional: PBE
Structure: optimized geometry

a = 2.6704 Å, b = 2.6704 Å, c = 20.5009 Å
α = 90.00°, β = 90.00°, γ = 120.00°
Space group P-6m2 (No. 187)
Symmetry-distinct sites (fractional):
V 0.0000 0.0000 0.0594 x2
V 0.0000 0.0000 0.2936 x2
V 0.3333 0.6667 0.4048 x2
Fe 0.0000 0.0000 0.5000 x1
Mo 0.3333 0.6667 0.1755 x2

Calculated values
D(E_F)   1.54 states/eV/atom
Crystal system   hexagonal
Total magnetization   0.000 μB/cell

=====

Most stable: *one*. Least stable: *two*.

=====

*one*
Compound: V2Fe2Mo
Source: Alexandria via LeMat-Bulk
Functional: PBE
Structure: optimized geometry

a = 6.8732 Å, b = 6.8732 Å, c = 2.6877 Å
α = 90.00°, β = 90.00°, γ = 90.00°
Space group P4/mbm (No. 127)
Symmetry-distinct sites (fractional):
V 0.1517 0.3483 0.0000 x4
Fe 0.1467 0.6467 0.5000 x4
Mo 0.0000 0.0000 0.0000 x2

Calculated values
D(E_F)   0.58 states/eV/atom
Crystal system   tetragonal
Total magnetization   0.000 μB/cell

=====

*two*
Compound: V2Fe2Mo
Source: Alexandria via LeMat-Bulk
Functional: PBE
Structure: optimized geometry

a = 6.8475 Å, b = 6.8475 Å, c = 2.7168 Å
α = 90.00°, β = 90.00°, γ = 90.00°
Space group P4/mbm (No. 127)
Symmetry-distinct sites (fractional):
V 0.1599 0.3401 0.0000 x4
Fe 0.1351 0.6351 0.5000 x4
Mo 0.0000 0.0000 0.5000 x2

Calculated values
D(E_F)   1.27 states/eV/atom
Crystal system   tetragonal
Total magnetization   0.000 μB/cell

=====

Most stable: *one*. Least stable: *two*.

=====

*one*
Compound: FeMo3W
Source: Alexandria via LeMat-Bulk
Functional: PBE
Structure: optimized geometry

a = 4.4048 Å, b = 4.4048 Å, c = 4.4048 Å
α = 90.00°, β = 90.00°, γ = 90.00°
Space group Pm-3m (No. 221)
Symmetry-distinct sites (fractional):
Fe 0.0000 0.0000 0.0000 x1
Mo 0.0000 0.0000 0.5000 x3
W 0.5000 0.5000 0.5000 x1

Calculated values
D(E_F)   1.00 states/eV/atom
Crystal system   cubic
Total magnetization   0.000 μB/cell

=====

*two*
Compound: FeMo3W
Source: Alexandria via LeMat-Bulk
Functional: PBE
Structure: optimized geometry

a = 4.6944 Å, b = 4.6944 Å, c = 4.6944 Å
α = 90.00°, β = 90.00°, γ = 90.00°
Space group Pm-3m (No. 221)
Symmetry-distinct sites (fractional):
Fe 0.0000 0.0000 0.0000 x1
Mo 0.0000 0.5000 0.5000 x3
W 0.5000 0.5000 0.5000 x1

Calculated values
D(E_F)   2.21 states/eV/atom
Crystal system   cubic
Total magnetization   0.349 μB/cell

=====

Most stable: *one*. Least stable: *two*.

=====

*one*
Compound: YFe2Mo2
Source: Alexandria via LeMat-Bulk
Functional: PBE
Structure: optimized geometry

a = 7.5286 Å, b = 7.5286 Å, c = 2.7599 Å
α = 90.00°, β = 90.00°, γ = 90.00°
Space group P4/mbm (No. 127)
Symmetry-distinct sites (fractional):
Y 0.0000 0.0000 0.0000 x2
Fe 0.1396 0.3604 0.5000 x4
Mo 0.1462 0.6462 0.0000 x4

Calculated values
D(E_F)   0.95 states/eV/atom
Crystal system   tetragonal
Total magnetization   0.000 μB/cell

=====

*two*
Compound: YFe2Mo2
Source: Alexandria via LeMat-Bulk
Functional: PBE
Structure: optimized geometry

a = 4.1783 Å, b = 4.1783 Å, c = 9.7289 Å
α = 90.00°, β = 90.00°, γ = 90.00°
Space group I4/mmm (No. 139)
Symmetry-distinct sites (fractional):
Y 0.0000 0.0000 0.0000 x2
Fe 0.0000 0.0000 0.3745 x4
Mo 0.0000 0.5000 0.2500 x4

Calculated values
D(E_F)   0.65 states/eV/atom
Crystal system   tetragonal
Total magnetization   0.000 μB/cell

=====

Most stable: *two*. Least stable: *one*.

=====

*one*
Compound: YFe2Mo2
Source: Alexandria via LeMat-Bulk
Functional: PBE
Structure: optimized geometry

a = 7.4142 Å, b = 7.4142 Å, c = 2.8578 Å
α = 90.00°, β = 90.00°, γ = 90.00°
Space group P4/mbm (No. 127)
Symmetry-distinct sites (fractional):
Y 0.0000 0.0000 0.0000 x2
Fe 0.1252 0.3748 0.0000 x4
Mo 0.1576 0.6576 0.5000 x4

Calculated values
D(E_F)   1.09 states/eV/atom
Crystal system   tetragonal
Total magnetization   0.002 μB/cell

=====

*two*
Compound: YFe2Mo2
Source: Alexandria via LeMat-Bulk
Functional: PBE
Structure: optimized geometry

a = 4.2144 Å, b = 4.2144 Å, c = 9.7768 Å
α = 90.00°, β = 90.00°, γ = 90.00°
Space group I4/mmm (No. 139)
Symmetry-distinct sites (fractional):
Y 0.0000 0.0000 0.0000 x2
Fe 0.0000 0.5000 0.2500 x4
Mo 0.0000 0.0000 0.3648 x4

Calculated values
D(E_F)   1.21 states/eV/atom
Crystal system   tetragonal
Total magnetization   0.006 μB/cell

=====

Most stable: *two*. Least stable: *one*.

=====

*one*
Compound: ZnFeMo
Source: Alexandria via LeMat-Bulk
Functional: PBE
Structure: optimized geometry

a = 5.6894 Å, b = 5.6894 Å, c = 5.6894 Å
α = 90.00°, β = 90.00°, γ = 90.00°
Space group F-43m (No. 216)
Symmetry-distinct sites (fractional):
Zn 0.0000 0.0000 0.0000 x4
Fe 0.2500 0.2500 0.2500 x4
Mo 0.0000 0.0000 0.5000 x4

Calculated values
D(E_F)   0.88 states/eV/atom
Crystal system   cubic
Total magnetization   6.203 μB/cell

=====

*two*
Compound: ZnFeMo
Source: Alexandria via LeMat-Bulk
Functional: PBE
Structure: optimized geometry

a = 3.2383 Å, b = 4.0854 Å, c = 12.6618 Å
α = 90.00°, β = 90.00°, γ = 90.00°
Space group Fmm2 (No. 42)
Symmetry-distinct sites (fractional):
Zn 0.0000 0.0000 0.0000 x4
Fe 0.0000 0.0000 0.3418 x4
Mo 0.0000 0.0000 0.6772 x4

Calculated values
D(E_F)   0.72 states/eV/atom
Crystal system   orthorhombic
Total magnetization   9.504 μB/cell

=====

*three*
Compound: ZnFeMo
Source: Alexandria via LeMat-Bulk
Functional: PBE
Structure: optimized geometry

a = 2.6036 Å, b = 2.6036 Å, c = 12.3384 Å
α = 90.00°, β = 90.00°, γ = 90.00°
Space group I4mm (No. 107)
Symmetry-distinct sites (fractional):
Zn 0.0000 0.0000 0.0000 x2
Fe 0.0000 0.0000 0.6545 x2
Mo 0.0000 0.0000 0.3250 x2

Calculated values
D(E_F)   0.59 states/eV/atom
Crystal system   tetragonal
Total magnetization   4.943 μB/cell

=====

*four*
Compound: ZnFeMo
Source: Alexandria via LeMat-Bulk
Functional: PBE
Structure: optimized geometry

a = 10.3351 Å, b = 2.5639 Å, c = 6.5632 Å
α = 90.00°, β = 99.46°, γ = 90.00°
Space group C2/m (No. 12)
Symmetry-distinct sites (fractional):
Zn 0.0409 0.0000 0.3039 x4
Fe 0.1240 0.5000 0.9879 x4
Mo 0.2189 0.0000 0.6789 x4

Calculated values
D(E_F)   0.69 states/eV/atom
Crystal system   monoclinic
Total magnetization   8.779 μB/cell

=====

Most stable: *two*. Least stable: *one*.